The following is a DFT calculation (PBE) of a relaxed HoAsN2O crystal.

Values from the calculation:
Total DFT energy (no corrections) in eV per cell: -140.352
ρ in g cm⁻³: 8.57

Lattice parameters (Å, degrees): 5.3647 7.8226 5.2412 90.00 90.00 90.00
Positions (direct):
Ho: 0.0619 0.2500 0.0192
Ho: 0.4381 0.7500 0.5192
Ho: 0.5619 0.2500 0.4808
Ho: 0.9381 0.7500 0.9808
As: 0.0000 0.0000 0.5000
As: 0.0000 0.5000 0.5000
As: 0.5000 0.0000 0.0000
As: 0.5000 0.5000 0.0000
N: 0.2011 0.5475 0.8004
N: 0.2011 0.9525 0.8004
N: 0.2989 0.0475 0.3004
N: 0.2989 0.4525 0.3004
N: 0.7011 0.5475 0.6996
N: 0.7011 0.9525 0.6996
N: 0.7989 0.0475 0.1996
N: 0.7989 0.4525 0.1996
O: 0.0188 0.7500 0.4036
O: 0.4812 0.2500 0.9036
O: 0.5188 0.7500 0.0964
O: 0.9812 0.2500 0.5964

The following is a DFT calculation (PBE) of a relaxed HoAsN2O crystal.

Values from the calculation:
Total DFT energy (no corrections) in eV per cell: -141.945
ρ in g cm⁻³: 8.12

Lattice parameters (Å, degrees): 7.2342 5.7442 5.5888 90.00 90.00 90.00
Positions (direct):
Ho: 0.0000 0.1806 0.0000
Ho: 0.0000 0.8194 0.5000
Ho: 0.5000 0.1931 0.9001
Ho: 0.5000 0.8069 0.4001
As: 0.2473 0.3351 0.4423
As: 0.2473 0.6649 0.9423
As: 0.7527 0.3351 0.4423
As: 0.7527 0.6649 0.9423
N: 0.0000 0.1974 0.4173
N: 0.0000 0.8026 0.9173
N: 0.2077 0.3943 0.7798
N: 0.2077 0.6057 0.2798
N: 0.5000 0.3657 0.5335
N: 0.5000 0.6343 0.0335
N: 0.7923 0.3943 0.7798
N: 0.7923 0.6057 0.2798
O: 0.2986 0.1034 0.2082
O: 0.2986 0.8966 0.7082
O: 0.7014 0.1034 0.2082
O: 0.7014 0.8966 0.7082

The following is a DFT calculation (PBE) of a relaxed HoAsN2O crystal.

Values from the calculation:
Total DFT energy (no corrections) in eV per cell: -69.435
ρ in g cm⁻³: 8.56

Lattice parameters (Å, degrees): 5.4187 5.4187 5.4187 87.75 120.91 121.70
Positions (direct):
Ho: 0.0199 0.2500 0.2699
Ho: 0.9801 0.7500 0.7301
As: 0.5028 0.0028 0.5000
As: 0.5028 0.5028 0.0000
N: 0.0038 0.1959 0.6957
N: 0.0038 0.8081 0.3079
N: 0.5002 0.3081 0.3043
N: 0.5002 0.6959 0.6921
O: 0.4140 0.7598 0.1542
O: 0.6056 0.2598 0.8458

The following is a DFT calculation (PBE) of a relaxed HoAsNO crystal.

Values from the calculation:
Energy above the most stable polymorph in this dataset in kJ/mol of atoms: 0.0
Total DFT energy (no corrections) in eV per cell: -55.018
ρ in g cm⁻³: 6.45

Lattice parameters (Å, degrees): 3.9266 5.9618 5.9369 90.00 90.00 90.00
Positions (direct):
Ho: 0.0000 0.2034 0.0000
Ho: 0.0000 0.7966 0.5000
As: 0.5000 0.3326 0.6082
As: 0.5000 0.6674 0.1082
N: 0.5000 0.4086 0.9298
N: 0.5000 0.5914 0.4298
O: 0.0000 0.0976 0.3274
O: 0.0000 0.9024 0.8274

The following is a DFT calculation (PBE) of a relaxed HoAsNO crystal.

Values from the calculation:
Energy above the most stable polymorph in this dataset in kJ/mol of atoms: 1.2
Total DFT energy (no corrections) in eV per cell: -54.915
ρ in g cm⁻³: 7.27

Lattice parameters (Å, degrees): 4.2122 4.2122 6.9527 90.00 90.00 90.00
Positions (direct):
Ho: 0.2500 0.2500 0.1358
Ho: 0.7500 0.7500 0.8642
As: 0.2500 0.7500 0.5000
As: 0.7500 0.2500 0.5000
N: 0.2500 0.2500 0.4705
N: 0.7500 0.7500 0.5295
O: 0.2500 0.7500 0.0000
O: 0.7500 0.2500 0.0000

The following is a DFT calculation (PBE) of a relaxed HoAsNO crystal.

Values from the calculation:
Energy above the most stable polymorph in this dataset in kJ/mol of atoms: 13.1
Total DFT energy (no corrections) in eV per cell: -53.929
ρ in g cm⁻³: 8.15

Lattice parameters (Å, degrees): 4.8498 4.8498 4.6755 90.00 90.00 90.00
Positions (direct):
Ho: 0.2500 0.7500 0.0000
Ho: 0.7500 0.2500 0.0000
As: 0.2500 0.2500 0.4763
As: 0.7500 0.7500 0.5237
N: 0.2500 0.2500 0.0775
N: 0.7500 0.7500 0.9225
O: 0.2500 0.7500 0.5000
O: 0.7500 0.2500 0.5000

The following is a DFT calculation (PBE) of a relaxed HoAsN2O crystal.

Values from the calculation:
Total DFT energy (no corrections) in eV per cell: -70.498
ρ in g cm⁻³: 7.74

Lattice parameters (Å, degrees): 5.1863 5.4042 5.6043 94.43 111.98 118.35
Positions (direct):
Ho: 0.0000 0.0000 0.0000
Ho: 0.4519 0.7263 0.2258
As: 0.0726 0.5879 0.5942
As: 0.4185 0.2115 0.6523
N: 0.1885 0.3868 0.4154
N: 0.4847 0.9291 0.8374
N: 0.8874 0.5258 0.8322
N: 0.9699 0.8355 0.4277
O: 0.3498 0.3622 0.9163
O: 0.4976 0.1396 0.3601

The following is a DFT calculation (PBE) of a relaxed HoAsN2O crystal.

Values from the calculation:
Total DFT energy (no corrections) in eV per cell: -203.095
ρ in g cm⁻³: 8.44

Lattice parameters (Å, degrees): 5.3853 5.3853 13.3465 90.00 90.00 120.00
Positions (direct):
Ho: 0.0000 0.0000 0.2500
Ho: 0.0000 0.0000 0.7500
Ho: 0.3333 0.6667 0.1154
Ho: 0.3333 0.6667 0.3846
Ho: 0.6667 0.3333 0.6154
Ho: 0.6667 0.3333 0.8846
As: 0.0000 0.0000 0.0000
As: 0.0000 0.0000 0.5000
As: 0.3333 0.6667 0.6390
As: 0.3333 0.6667 0.8610
As: 0.6667 0.3333 0.1390
As: 0.6667 0.3333 0.3610
N: 0.1553 0.3106 0.5927
N: 0.1553 0.3106 0.9073
N: 0.1553 0.8447 0.5927
N: 0.1553 0.8447 0.9073
N: 0.3106 0.1553 0.0927
N: 0.3106 0.1553 0.4073
N: 0.6894 0.8447 0.5927
N: 0.6894 0.8447 0.9073
N: 0.8447 0.1553 0.0927
N: 0.8447 0.1553 0.4073
N: 0.8447 0.6894 0.0927
N: 0.8447 0.6894 0.4073
O: 0.0009 0.5004 0.7500
O: 0.5004 0.0009 0.2500
O: 0.5004 0.4996 0.2500
O: 0.4996 0.5004 0.7500
O: 0.4996 0.9991 0.7500
O: 0.9991 0.4996 0.2500